Record 1
VASP calculation (PBE-GGA) on Na4Ce3NiS8 after structural relaxation.

Values from the calculation:
**Calculated volume**: 738.0 Å³/cell
**Spin magnetization**: 0.177 μB/atom
**Raw total energy**: -5.29 eV/atom
**Raw formation energy**: -1.421 eV per atom

```
data_Na4Ce3NiS8
_cell_length_a 14.042
_cell_length_b 7.885
_cell_length_c 8.083
_cell_angle_alpha 90.00
_cell_angle_beta 124.45
_cell_angle_gamma 90.00
_space_group_name_H-M_alt 'C 1 2/m 1'
_space_group_IT_number 12
_space_group_name_Hall '-C 2y'
loop_
_atom_site_label
_atom_site_fract_x
_atom_site_fract_y
_atom_site_fract_z
Na1 0.000 0.000 0.000
Na2 0.000 0.500 0.000
Na3 0.250 0.250 0.000
Ce1 0.000 0.000 0.500
Ce2 0.250 0.250 0.500
Ni1 0.000 0.500 0.500
S1 0.009 0.273 0.292
S2 0.241 0.000 0.255
S3 0.242 0.000 0.736
```

---

Record 2
VASP calculation (PBE-GGA) on Na3Ce3NpS8 after structural relaxation.

Values from the calculation:
**Calculated volume**: 1167.1 Å³/cell
**Spin magnetization**: 0.400 μB/atom
**Raw total energy**: -6.17 eV/atom
**Raw formation energy**: -1.659 eV per atom

```
data_Na3Ce3NpS8
_cell_length_a 8.2159
_cell_length_b 8.2159
_cell_length_c 19.9649
_cell_angle_alpha 90.00
_cell_angle_beta 90.00
_cell_angle_gamma 120.00
_space_group_name_H-M_alt 'R -3 m'
_space_group_IT_number 166
_space_group_name_Hall '-R 3 2"'
loop_
_atom_site_label
_atom_site_fract_x
_atom_site_fract_y
_atom_site_fract_z
Na1 0.0000 0.5000 0.0000
Ce1 0.0000 0.5000 0.5000
Np1 0.0000 0.0000 0.5000
S1 0.0000 0.0000 0.2443
S2 0.0079 0.5039 0.2401
```

---

Record 3
VASP calculation (PBE-GGA) on Na2Ce2NpS6 after structural relaxation.

Values from the calculation:
**Calculated volume**: 579.3 Å³/cell
**Spin magnetization**: 0.455 μB/atom
**Raw total energy**: -6.37 eV/atom
**Raw formation energy**: -1.623 eV per atom

```
data_Na2Ce2NpS6
_cell_length_a 7.117
_cell_length_b 12.260
_cell_length_c 7.040
_cell_angle_alpha 90.00
_cell_angle_beta 109.41
_cell_angle_gamma 90.00
_space_group_name_H-M_alt 'C 1 2/m 1'
_space_group_IT_number 12
_space_group_name_Hall '-C 2y'
loop_
_atom_site_label
_atom_site_fract_x
_atom_site_fract_y
_atom_site_fract_z
Na1 0.000 0.168 0.000
Ce1 0.000 0.335 0.500
Np1 0.000 0.000 0.500
S1 0.234 0.167 0.721
S2 0.248 0.000 0.278
```

---

Record 4
VASP calculation (PBE-GGA) on Na2CeNpS4 after structural relaxation.

Values from the calculation:
**Calculated volume**: 191.2 Å³/cell
**Spin magnetization**: 0.625 μB/atom
**Raw total energy**: -6.30 eV/atom
**Raw formation energy**: -1.546 eV per atom

```
data_Na2CeNpS4
_cell_length_a 7.044
_cell_length_b 4.071
_cell_length_c 7.071
_cell_angle_alpha 90.00
_cell_angle_beta 109.50
_cell_angle_gamma 90.00
_space_group_name_H-M_alt 'P 1 2/m 1'
_space_group_IT_number 10
_space_group_name_Hall '-P 2y'
loop_
_atom_site_label
_atom_site_fract_x
_atom_site_fract_y
_atom_site_fract_z
Na1 0.000 0.000 0.000
Na2 0.500 0.500 0.000
Ce1 0.000 0.500 0.500
Np1 0.500 0.000 0.500
S1 0.248 0.000 0.732
S2 0.262 0.500 0.272
```

---

Record 5
VASP calculation (PBE-GGA) on NaCeNpS4 after structural relaxation.

Values from the calculation:
**Calculated volume**: 790.6 Å³/cell
**Spin magnetization**: 0.572 μB/atom
**Raw total energy**: -6.79 eV/atom
**Raw formation energy**: -1.551 eV per atom

```
data_NaCeNpS4
_cell_length_a 8.151
_cell_length_b 8.323
_cell_length_c 11.653
_cell_angle_alpha 90.00
_cell_angle_beta 90.00
_cell_angle_gamma 90.00
_space_group_name_H-M_alt 'I m m a'
_space_group_IT_number 74
_space_group_name_Hall '-I 2b 2'
loop_
_atom_site_label
_atom_site_fract_x
_atom_site_fract_y
_atom_site_fract_z
Na1 0.000 0.250 0.126
Ce1 0.000 0.000 0.500
Np1 0.250 0.250 0.750
S1 0.000 0.032 0.740
S2 0.226 0.250 0.516
```

---

Record 6
VASP calculation (PBE-GGA) on Na3CeNp2S6 after structural relaxation.

Values from the calculation:
**Calculated volume**: 567.7 Å³/cell
**Spin magnetization**: 0.750 μB/atom
**Raw total energy**: -6.53 eV/atom
**Raw formation energy**: -1.484 eV per atom

```
data_Na3CeNp2S6
_cell_length_a 7.013
_cell_length_b 12.146
_cell_length_c 7.064
_cell_angle_alpha 90.00
_cell_angle_beta 109.35
_cell_angle_gamma 90.00
_space_group_name_H-M_alt 'C 1 2/m 1'
_space_group_IT_number 12
_space_group_name_Hall '-C 2y'
loop_
_atom_site_label
_atom_site_fract_x
_atom_site_fract_y
_atom_site_fract_z
Na1 0.000 0.000 0.000
Na2 0.000 0.333 0.000
Ce1 0.000 0.500 0.500
Np1 0.000 0.167 0.500
S1 0.237 0.000 0.730
S2 0.246 0.330 0.729
```